(1)
VASP calculation (PBE) on crystalline PuCd5SnHg4 at its relaxed geometry.

Cell: 5.442 5.442 9.898 Å, 90.00 90.00 90.00°
Space group P4/mmm (No. 123)
Symmetry-distinct sites (fractional):
1 Pu 0.000 0.000 0.000 x1
2 Cd 0.000 0.500 0.190 x4
3 Cd 0.500 0.500 0.500 x1
4 Sn 0.500 0.500 0.000 x1
5 Hg 0.000 0.000 0.327 x2
6 Hg 0.000 0.500 0.500 x2

Output
* energy relative to the elements: 0.05 eV per atom
* calculated volume: 26.6 A^3/atom
* M_tot: 5.785 μB per cell
* total DFT energy (no corrections): -23.58 eV for the cell shown

=====

(2)
VASP calculation (PBE) on crystalline SrPuCdHg at its relaxed geometry.

Cell: 7.814 7.814 7.814 Å, 90.00 90.00 90.00°
Space group F-43m (No. 216)
Symmetry-distinct sites (fractional):
1 Sr 0.000 0.000 0.000 x4
2 Pu 0.000 0.000 0.500 x4
3 Cd 0.250 0.250 0.250 x4
4 Hg 0.250 0.250 0.750 x4

Output
* energy relative to the elements: -0.15 eV per atom
* calculated volume: 29.8 A^3/atom
* M_tot: 24.394 μB per cell
* total DFT energy (no corrections): -71.34 eV for the cell shown

=====

(3)
VASP calculation (PBE) on crystalline TbPuCd2Hg4 at its relaxed geometry.

Cell: 5.1315 5.1315 25.1883 Å, 90.00 90.00 120.00°
Space group R-3m (No. 166, hexagonal axes)
Symmetry-distinct sites (fractional):
1 Tb 0.0000 0.0000 0.0000 x3
2 Pu 0.0000 0.0000 0.5000 x3
3 Cd 0.0000 0.0000 0.2495 x6
4 Hg 0.0000 0.0000 0.1238 x6
5 Hg 0.0000 0.0000 0.3741 x6

Output
* energy relative to the elements: -0.26 eV per atom
* calculated volume: 23.9 A^3/atom
* M_tot: 16.808 μB per cell
* total DFT energy (no corrections): -72.35 eV for the cell shown